Entry 1:
! Ba3MnFe | Alexandria via LeMat-Bulk | GGA-PBEsol | optimized geometry; values from VASP
&SYSTEM
  ibrav = 0, nat = 5, ntyp = 3
/
ATOMIC_SPECIES
Ba 137.33 Ba.upf
Mn 54.94 Mn.upf
Fe 55.84 Fe.upf
ATOMIC_POSITIONS angstrom
Ba 0.0000 0.0000 2.8638
Ba 0.0000 2.8638 0.0000
Ba 2.8638 0.0000 0.0000
Mn 2.8638 2.8638 2.8638
Fe 0.0000 0.0000 0.0000
CELL_PARAMETERS angstrom
5.7276 0.0000 0.0000
0.0000 5.7276 0.0000
0.0000 0.0000 5.7276
! - Symmetry: Pm-3m
! - Final energy: -20.9 eV per cell
! - Calculated formation energy: 0.86 eV per atom

***

Entry 2:
! BaMn2Fe | Alexandria via LeMat-Bulk | GGA-PBEsol | optimized geometry; values from VASP
&SYSTEM
  ibrav = 0, nat = 4, ntyp = 3
/
ATOMIC_SPECIES
Ba 137.33 Ba.upf
Mn 54.94 Mn.upf
Fe 55.84 Fe.upf
ATOMIC_POSITIONS angstrom
Ba 0.0000 0.0000 0.0000
Mn 1.5599 1.5599 2.6193
Mn 1.5599 1.5599 4.6048
Fe 0.0000 0.0000 3.6120
CELL_PARAMETERS angstrom
3.1197 0.0000 0.0000
0.0000 3.1197 0.0000
0.0000 0.0000 7.2241
! - Symmetry: P4/mmm
! - Final energy: -27.3 eV per cell
! - Offset from the most stable computed form: 64 meV per atom
! - Calculated formation energy: 0.84 eV per atom

***

Entry 3:
! Ba2MnFeSe | Alexandria via LeMat-Bulk | GGA-PBEsol | optimized geometry; values from VASP
&SYSTEM
  ibrav = 0, nat = 5, ntyp = 4
/
ATOMIC_SPECIES
Ba 137.33 Ba.upf
Mn 54.94 Mn.upf
Fe 55.84 Fe.upf
Se 78.96 Se.upf
ATOMIC_POSITIONS angstrom
Ba 0.0000 2.9109 0.0000
Ba 2.9109 0.0000 0.0000
Mn 0.0000 0.0000 0.0000
Fe 0.0000 0.0000 2.0327
Se 2.9109 2.9109 2.0327
CELL_PARAMETERS angstrom
5.8218 0.0000 0.0000
0.0000 5.8218 0.0000
0.0000 0.0000 4.0653
! - Symmetry: P4/mmm
! - Formation energy (no corrections): 0.163 eV per atom
! - Final energy: -26.1 eV per cell

***

Entry 4:
! BaFeMo2 | Alexandria via LeMat-Bulk | GGA-PBEsol | optimized geometry; values from VASP
&SYSTEM
  ibrav = 0, nat = 4, ntyp = 3
/
ATOMIC_SPECIES
Ba 137.33 Ba.upf
Fe 55.84 Fe.upf
Mo 95.94 Mo.upf
ATOMIC_POSITIONS angstrom
Ba 0.0000 0.0000 0.0000
Fe 1.5965 1.5965 2.5228
Mo 0.0000 0.0000 3.7820
Mo 1.5965 1.5965 5.1110
CELL_PARAMETERS angstrom
3.1930 0.0000 0.0000
0.0000 3.1930 0.0000
0.0000 0.0000 7.7938
! - Symmetry: P4mm
! - Final energy: -31.8 eV per cell
! - Offset from the most stable computed form: 0 meV per atom
! - Calculated formation energy: 0.71 eV per atom

***

Entry 5:
! BaFeMo2 | Alexandria via LeMat-Bulk | GGA-PBEsol | optimized geometry; values from VASP
&SYSTEM
  ibrav = 0, nat = 4, ntyp = 3
/
ATOMIC_SPECIES
Ba 137.33 Ba.upf
Fe 55.84 Fe.upf
Mo 95.94 Mo.upf
ATOMIC_POSITIONS angstrom
Ba 0.0000 0.0000 0.0000
Fe 2.3333 2.3333 0.0000
Mo 0.0000 2.3333 1.5970
Mo 2.3333 0.0000 1.5970
CELL_PARAMETERS angstrom
4.6665 0.0000 0.0000
0.0000 4.6665 0.0000
0.0000 0.0000 3.1939
! - Symmetry: P4/mmm
! - Final energy: -28.6 eV per cell
! - Offset from the most stable computed form: 806 meV per atom
! - Calculated formation energy: 1.52 eV per atom

***

Entry 6:
! Ba3FeN3 | Alexandria via LeMat-Bulk | GGA-PBEsol | optimized geometry; values from VASP
&SYSTEM
  ibrav = 0, nat = 14, ntyp = 3
/
ATOMIC_SPECIES
Ba 137.33 Ba.upf
Fe 55.84 Fe.upf
N 14.01 N.upf
ATOMIC_POSITIONS angstrom
Ba -0.7411 2.5097 1.3889
Ba -1.4429 6.2925 1.3889
Ba 1.8029 1.8967 4.1667
Ba 2.1840 5.0089 1.3889
Ba 5.4298 0.6131 4.1667
Ba 4.7280 4.3958 4.1667
Fe 0.0000 4.6037 4.1667
Fe 3.9869 2.3018 1.3889
N -0.7636 3.0722 4.1667
N -0.9446 6.0307 4.1667
N 2.2788 2.1973 1.3889
N 1.7081 4.7082 4.1667
N 4.9315 0.8748 1.3889
N 4.7505 3.8334 1.3889
CELL_PARAMETERS angstrom
7.9738 0.0000 0.0000
-3.9869 6.9055 0.0000
0.0000 0.0000 5.5556
! - Symmetry: P6_3/m
! - Formation energy (no corrections): -0.664 eV per atom
! - Final energy: -91.3 eV per cell